Record 1
# CePd5Au2

An optimized crystal structure of CePd5Au2 (PBE, the Alexandria database).

Output
Its crystal system is orthorhombic. The calculation puts the formation energy at -232.1 meV/atom.

Cell: 3.9348 7.8346 9.9168 Å, 90.00 90.00 90.00°
Space group Immm (No. 71)
Asymmetric unit:
Ce1 0.0000 0.0000 0.0000
Pd1 0.0000 0.1808 0.3605
Pd2 0.0000 0.5000 0.0000
Au1 0.0000 0.5000 0.2759

---

Record 2
# PuPd4Pb

An optimized crystal structure of PuPd4Pb (PBE, the Alexandria database).

Output
Its crystal system is cubic. The calculation puts the formation energy at -400.0 meV/atom.

Cell: 7.7073 7.7073 7.7073 Å, 90.00 90.00 90.00°
Space group F-43m (No. 216)
Asymmetric unit:
Pu1 0.0000 0.0000 0.0000
Pd1 0.1251 0.1251 0.6251
Pb1 0.2500 0.2500 0.2500

---

Record 3
# Pr4YS7

An optimized crystal structure of Pr4YS7 (PBE, the Alexandria database).

Output
Its crystal system is monoclinic.

Cell: 13.3838 3.9637 11.9465 Å, 90.00 105.21 90.00°
Space group Cm (No. 8)
Asymmetric unit:
Pr1 0.0000 0.0000 0.0000
Pr2 0.0872 0.5000 0.3824
Pr3 0.1902 0.0000 0.7678
Pr4 0.3879 0.5000 0.5723
Y1 0.2764 0.5000 0.1529
S1 0.0486 0.5000 0.6260
S2 0.1315 0.5000 0.9326
S3 0.1567 0.0000 0.2224
S4 0.2271 0.0000 0.5235
S5 0.3474 0.5000 0.7903
S6 0.3831 0.0000 0.0787
S7 0.4278 0.5000 0.3532

---

Number 1: calculated volume 152.86 Å³/f.u., total DFT energy (no corrections) -5.039 eV per atom. Number 2: calculated volume 114.46 Å³/f.u., total DFT energy (no corrections) -6.869 eV per atom. Number 3: calculated volume 305.78 Å³/f.u., total DFT energy (no corrections) -6.594 eV per atom.